{"formula": "BiPO4", "functional": "SCAN", "state": "single point on PBEsol structure", "lattice_angstrom": [[6.4566, 0.0150, 0.0000], [-1.6466, 6.5357, 0.0000], [0.0000, 0.0000, 6.9468]], "species": ["O", "O", "O", "O", "Bi", "Bi", "O", "O", "Bi", "O", "O", "O", "O", "O", "P", "O", "O", "P", "O", "O", "P", "P", "O", "Bi"], "fractional_positions": [[0.9393, 0.7589, 0.5054], [0.0155, 0.8806, 0.8420], [0.4393, 0.2589, 0.9946], [0.7098, 0.1158, 0.7944], [0.0876, 0.2828, 0.8548], [0.4124, 0.2172, 0.3548], [0.1820, 0.5345, 0.1016], [0.7902, 0.3842, 0.2944], [0.5876, 0.7828, 0.6452], [0.2902, 0.8842, 0.2056], [0.5155, 0.3806, 0.6580], [0.9845, 0.1194, 0.1580], [0.0607, 0.2411, 0.4946], [0.5607, 0.7411, 0.0054], [0.1128, 0.7998, 0.6621], [0.6820, 0.0345, 0.3984], [0.2098, 0.6158, 0.7056], [0.3872, 0.7002, 0.1621], [0.8180, 0.4655, 0.8984], [0.3180, 0.9655, 0.6016], [0.6128, 0.2998, 0.8379], [0.8872, 0.2002, 0.3379], [0.4845, 0.6194, 0.3420], [0.9124, 0.7172, 0.1452]], "sg": "P2_1/c, No. 14", "e_form_raw_ev_per_atom": -2.071, "e_tot_ev_per_atom": -21.06}